DFT (PBE) results for a relaxed SiTc2Mo crystal.

Cell lengths 8.5155, 8.5155, 8.5155 Å; angles 19.13, 19.13, 19.13 degrees
With the nearest neighbours (Å) after each atom.
Fractional coordinates of all 4 atoms:
Tc 0.0047 0.0047 0.0047  3 Si 2.56, 3 Mo 2.75, 6 Tc 2.83
Tc 0.4953 0.4953 0.4953  3 Si 2.56, 3 Mo 2.75, 6 Tc 2.83
Mo 0.2500 0.2500 0.2500  6 Tc 2.75, 6 Mo 2.83
Si 0.7500 0.7500 0.7500  6 Tc 2.56, 6 Si 2.83

Computed properties:
* total DFT energy (no corrections): -9.29 eV per atom
* space group: R-3m (166)
* mass density: 9.17 g cm⁻³